Record 1
Here is a relaxed structure of Co2H2O3 from OQMD. Energies are from GGA+U.

Values from the calculation:
- SG: P1
- Total energy: -34.255 eV per cell

a b c (Å): 3.093 3.409 7.127
angles (deg): 89.20 81.78 66.72
Fractional positions:
1 Co 0.000 0.000 0.000
2 Co 0.457 0.901 0.382
3 H 0.475 0.312 0.758
4 H 0.597 0.791 0.135
5 O 0.359 0.360 0.900
6 O 0.781 0.309 0.388
7 O 0.831 0.053 0.570


Record 2
Here is a relaxed structure of Co3P2H2O9 from OQMD. Energies are from GGA+U.

Values from the calculation:
- SG: P2_1/c
- Total energy: -413.977 eV per cell

a b c (Å): 8.676 4.835 16.641
angles (deg): 90.00 95.69 90.00
Fractional positions:
1 Co 0.064 0.003 0.174
2 Co 0.064 0.497 0.674
3 Co 0.329 0.703 0.942
4 Co 0.329 0.797 0.442
5 Co 0.433 0.706 0.155
6 Co 0.433 0.794 0.655
7 Co 0.567 0.206 0.345
8 Co 0.567 0.294 0.845
9 Co 0.671 0.203 0.558
10 Co 0.671 0.297 0.058
11 Co 0.936 0.503 0.326
12 Co 0.936 0.997 0.826
13 P 0.233 0.514 0.279
14 P 0.233 0.986 0.779
15 P 0.315 0.206 0.054
16 P 0.315 0.294 0.554
17 P 0.685 0.706 0.446
18 P 0.685 0.794 0.946
19 P 0.767 0.014 0.221
20 P 0.767 0.486 0.721
21 H 0.074 0.547 0.090
22 H 0.074 0.953 0.590
23 H 0.089 0.203 0.436
24 H 0.089 0.297 0.936
25 H 0.911 0.703 0.064
26 H 0.911 0.797 0.564
27 H 0.926 0.047 0.410
28 H 0.926 0.453 0.910
29 O 0.023 0.731 0.080
30 O 0.023 0.769 0.580
31 O 0.093 0.177 0.755
32 O 0.093 0.323 0.255
33 O 0.179 0.244 0.602
34 O 0.179 0.256 0.102
35 O 0.185 0.657 0.357
36 O 0.185 0.843 0.857
37 O 0.252 0.746 0.215
38 O 0.252 0.754 0.715
39 O 0.284 0.183 0.467
40 O 0.284 0.317 0.967
41 O 0.357 0.608 0.548
42 O 0.357 0.892 0.048
43 O 0.386 0.144 0.788
44 O 0.386 0.356 0.288
45 O 0.463 0.152 0.598
46 O 0.463 0.348 0.098
47 O 0.537 0.652 0.902
48 O 0.537 0.848 0.402
49 O 0.614 0.644 0.712
50 O 0.614 0.856 0.212
51 O 0.643 0.108 0.952
52 O 0.643 0.392 0.452
53 O 0.716 0.683 0.033
54 O 0.716 0.817 0.533
55 O 0.748 0.246 0.285
56 O 0.748 0.254 0.785
57 O 0.815 0.157 0.143
58 O 0.815 0.343 0.643
59 O 0.821 0.744 0.898
60 O 0.821 0.756 0.398
61 O 0.907 0.677 0.745
62 O 0.907 0.823 0.245
63 O 0.977 0.231 0.420
64 O 0.977 0.269 0.920


Record 3
Here is a relaxed structure of Co2P3H3PbO9 from OQMD. Energies are from GGA+U.

Values from the calculation:
- SG: R3m
- Total energy: -110.701 eV per cell

a b c (Å): 8.863 8.863 8.863
angles (deg): 35.01 35.01 35.01
Fractional positions:
1 Co 0.000 0.000 0.000
2 Co 0.114 0.114 0.114
3 P 0.409 0.409 0.409
4 P 0.637 0.637 0.637
5 P 0.818 0.818 0.818
6 H 0.465 0.465 0.465
7 H 0.693 0.693 0.693
8 H 0.762 0.762 0.762
9 Pb 0.244 0.244 0.244
10 O 0.231 0.231 0.712
11 O 0.231 0.712 0.231
12 O 0.302 0.775 0.775
13 O 0.513 0.995 0.995
14 O 0.712 0.231 0.231
15 O 0.775 0.302 0.775
16 O 0.775 0.775 0.302
17 O 0.995 0.513 0.995
18 O 0.995 0.995 0.513


Record 4
Here is a relaxed structure of ZnCoP2H12O11 from OQMD. Energies are from GGA+U.

Values from the calculation:
- SG: P-1
- Total energy: -290.071 eV per cell

a b c (Å): 7.295 7.405 9.295
angles (deg): 88.66 89.81 87.24
Fractional positions:
1 Zn 0.003 0.490 0.250
2 Zn 0.997 0.510 0.750
3 Co 0.000 0.000 0.000
4 Co 0.500 0.500 0.500
5 P 0.128 0.266 0.491
6 P 0.236 0.610 0.984
7 P 0.764 0.390 0.016
8 P 0.872 0.734 0.509
9 H 0.045 0.090 0.258
10 H 0.046 0.877 0.269
11 H 0.222 0.096 0.492
12 H 0.245 0.746 0.596
13 H 0.248 0.237 0.935
14 H 0.351 0.054 0.889
15 H 0.366 0.025 0.202
16 H 0.388 0.599 0.247
17 H 0.396 0.405 0.762
18 H 0.411 0.681 0.973
19 H 0.435 0.828 0.644
20 H 0.486 0.881 0.289
21 H 0.514 0.119 0.711
22 H 0.565 0.172 0.356
23 H 0.589 0.319 0.027
24 H 0.604 0.595 0.238
25 H 0.612 0.401 0.753
26 H 0.634 0.975 0.798
27 H 0.649 0.946 0.111
28 H 0.752 0.763 0.065
29 H 0.755 0.254 0.404
30 H 0.778 0.904 0.508
31 H 0.954 0.123 0.731
32 H 0.955 0.910 0.742
33 O 0.018 0.738 0.632
34 O 0.040 0.283 0.641
35 O 0.085 0.750 0.946
36 O 0.097 0.979 0.211
37 O 0.228 0.459 0.871
38 O 0.228 0.531 0.139
39 O 0.251 0.419 0.452
40 O 0.265 0.107 0.962
41 O 0.379 0.744 0.577
42 O 0.489 0.006 0.246
43 O 0.499 0.640 0.299
44 O 0.501 0.360 0.701
45 O 0.511 0.994 0.754
46 O 0.621 0.256 0.423
47 O 0.735 0.893 0.038
48 O 0.749 0.581 0.548
49 O 0.772 0.469 0.861
50 O 0.772 0.541 0.129
51 O 0.903 0.021 0.789
52 O 0.915 0.250 0.054
53 O 0.960 0.717 0.359
54 O 0.982 0.262 0.368


Record 5
Here is a relaxed structure of CoRe2H8O12 from OQMD. Energies are from GGA+U.

Values from the calculation:
- SG: P-1
- Total energy: -145.160 eV per cell

a b c (Å): 6.356 6.524 6.975
angles (deg): 66.02 72.15 72.91
Fractional positions:
1 Co 0.000 0.000 0.000
2 Re 0.419 0.683 0.704
3 Re 0.581 0.317 0.296
4 H 0.110 0.555 0.271
5 H 0.123 0.310 0.638
6 H 0.221 0.971 0.280
7 H 0.254 0.199 0.070
8 H 0.746 0.801 0.930
9 H 0.779 0.029 0.720
10 H 0.877 0.690 0.362
11 H 0.890 0.445 0.729
12 O 0.016 0.318 0.773
13 O 0.152 0.090 0.162
14 O 0.290 0.320 0.394
15 O 0.297 0.732 0.493
16 O 0.308 0.909 0.805
17 O 0.375 0.423 0.906
18 O 0.625 0.577 0.094
19 O 0.692 0.091 0.195
20 O 0.703 0.268 0.507
21 O 0.710 0.680 0.606
22 O 0.848 0.910 0.838
23 O 0.984 0.682 0.227


Record 6
Here is a relaxed structure of CoH2SO5 from OQMD. Energies are from GGA+U.

Values from the calculation:
- SG: C2/c
- Total energy: -103.816 eV per cell

a b c (Å): 5.101 5.101 7.392
angles (deg): 107.82 107.82 95.40
Fractional positions:
1 Co 0.000 0.500 0.000
2 Co 0.500 0.000 0.500
3 H 0.053 0.123 0.703
4 H 0.123 0.053 0.203
5 H 0.877 0.947 0.797
6 H 0.947 0.877 0.297
7 S 0.402 0.598 0.750
8 S 0.598 0.402 0.250
9 O 0.111 0.889 0.250
10 O 0.279 0.698 0.908
11 O 0.283 0.318 0.158
12 O 0.302 0.721 0.592
13 O 0.318 0.283 0.658
14 O 0.682 0.717 0.342
15 O 0.698 0.279 0.408
16 O 0.717 0.682 0.842
17 O 0.721 0.302 0.092
18 O 0.889 0.111 0.750


Record 7
Here is a relaxed structure of Co2H2SeO5 from OQMD. Energies are from GGA+U.

Values from the calculation:
- SG: P2_1/c
- Total energy: -216.287 eV per cell

a b c (Å): 7.564 5.539 12.310
angles (deg): 90.00 122.75 90.00
Fractional positions:
1 Co 0.106 0.128 0.252
2 Co 0.106 0.372 0.752
3 Co 0.282 0.579 0.515
4 Co 0.282 0.921 0.015
5 Co 0.718 0.079 0.985
6 Co 0.718 0.421 0.485
7 Co 0.894 0.628 0.248
8 Co 0.894 0.872 0.748
9 H 0.013 0.727 0.606
10 H 0.013 0.773 0.106
11 H 0.133 0.561 0.936
12 H 0.133 0.939 0.436
13 H 0.867 0.061 0.564
14 H 0.867 0.439 0.064
15 H 0.987 0.227 0.894
16 H 0.987 0.273 0.394
17 Se 0.389 0.084 0.690
18 Se 0.389 0.416 0.190
19 Se 0.611 0.584 0.810
20 Se 0.611 0.916 0.310
21 O 0.085 0.144 0.876
22 O 0.085 0.356 0.376
23 O 0.166 0.647 0.880
24 O 0.166 0.853 0.380
25 O 0.214 0.647 0.109
26 O 0.214 0.853 0.609
27 O 0.225 0.164 0.137
28 O 0.225 0.336 0.637
29 O 0.417 0.073 0.841
30 O 0.417 0.427 0.341
31 O 0.583 0.573 0.659
32 O 0.583 0.927 0.159
33 O 0.775 0.664 0.363
34 O 0.775 0.836 0.863
35 O 0.786 0.147 0.391
36 O 0.786 0.353 0.891
37 O 0.834 0.147 0.620
38 O 0.834 0.353 0.120
39 O 0.915 0.644 0.624
40 O 0.915 0.856 0.124


Record 8
Here is a relaxed structure of CoH2SeO4 from OQMD. Energies are from GGA+U.

Values from the calculation:
- SG: P2_1/c
- Total energy: -171.009 eV per cell

a b c (Å): 4.759 12.381 7.229
angles (deg): 90.00 129.24 90.00
Fractional positions:
1 Co 0.204 0.232 0.382
2 Co 0.204 0.268 0.882
3 Co 0.796 0.732 0.118
4 Co 0.796 0.768 0.618
5 H 0.273 0.603 0.947
6 H 0.273 0.897 0.447
7 H 0.422 0.628 0.211
8 H 0.422 0.872 0.711
9 H 0.578 0.128 0.289
10 H 0.578 0.372 0.789
11 H 0.727 0.103 0.553
12 H 0.727 0.397 0.053
13 Se 0.383 0.590 0.615
14 Se 0.383 0.910 0.115
15 Se 0.617 0.090 0.885
16 Se 0.617 0.410 0.385
17 O 0.047 0.621 0.626
18 O 0.047 0.879 0.126
19 O 0.251 0.171 0.659
20 O 0.251 0.329 0.159
21 O 0.297 0.671 0.382
22 O 0.297 0.829 0.882
23 O 0.497 0.606 0.115
24 O 0.497 0.894 0.615
25 O 0.503 0.106 0.385
26 O 0.503 0.394 0.885
27 O 0.703 0.171 0.118
28 O 0.703 0.329 0.618
29 O 0.749 0.671 0.841
30 O 0.749 0.829 0.341
31 O 0.953 0.121 0.874
32 O 0.953 0.379 0.374


Record 9
Here is a relaxed structure of Co3Si4H2O12 from OQMD. Energies are from GGA+U.

Values from the calculation:
- SG: P-1
- Total energy: -146.206 eV per cell

a b c (Å): 5.276 5.279 9.233
angles (deg): 85.00 80.71 60.23
Fractional positions:
1 Co 0.000 0.000 0.000
2 Co 0.331 0.335 0.000
3 Co 0.669 0.665 0.000
4 Si 0.252 0.993 0.302
5 Si 0.416 0.675 0.697
6 Si 0.584 0.325 0.303
7 Si 0.748 0.007 0.698
8 H 0.060 0.340 0.774
9 H 0.940 0.660 0.226
10 O 0.032 0.333 0.881
11 O 0.098 0.879 0.639
12 O 0.302 0.996 0.124
13 O 0.363 0.195 0.365
14 O 0.368 0.672 0.876
15 O 0.440 0.658 0.362
16 O 0.560 0.342 0.638
17 O 0.632 0.328 0.124
18 O 0.637 0.805 0.635
19 O 0.698 0.004 0.876
20 O 0.902 0.121 0.361
21 O 0.968 0.667 0.119


Number 1: total moment 6.00 μB/f.u.. Number 2: total moment 9.00 μB/f.u.. Number 3: total moment 6.00 μB/f.u.. Number 4: total moment 1.00 μB/f.u.. Number 5: total moment 3.00 μB/f.u.. Number 6: total moment 3.00 μB/f.u.. Number 7: total moment 6.00 μB/f.u.. Number 8: total moment 3.00 μB/f.u.. Number 9: total moment 9.00 μB/f.u..